# PBE-GGA Mn2TlRh, optimized geometry
data_Mn2TlRh
_space_group_name_H-M_alt 'P 1 2/m 1'
_space_group_IT_number 10
_cell_length_a 3.145
_cell_length_b 3.166
_cell_length_c 6.932
_cell_angle_alpha 90.00
_cell_angle_beta 90.08
_cell_angle_gamma 90.00
loop_
_space_group_symop_operation_xyz
'x,y,z'
'-x,-y,-z'
'-x,y,-z'
'x,-y,z'
loop_
_atom_site_label
_atom_site_fract_x
_atom_site_fract_y
_atom_site_fract_z
Mn1 0.000 0.000 0.211
Tl1 0.500 0.500 0.500
Rh1 0.500 0.500 0.000
# ΔE_f	176	meV per atom
# calculated volume	17.25	A^3/atom
# calculated total energy	-6.839	eV/atom